Material: CdFeBW
Method: DFT, PBE
State: optimized geometry

Properties
energy above the most stable polymorph in this dataset: 0.139 eV per atom
crystal system: cubic
E_tot: -5.94 eV per atom

The structure in CIF format:
```
data_CdFeBW
_space_group_name_H-M_alt 'F -4 3 m'
_space_group_IT_number 216
_space_group_name_Hall 'F -4 2 3'
_cell_length_a 5.991
_cell_length_b 5.991
_cell_length_c 5.991
_cell_angle_alpha 90.00
_cell_angle_beta 90.00
_cell_angle_gamma 90.00
loop_
_atom_site_label
_atom_site_fract_x
_atom_site_fract_y
_atom_site_fract_z
Cd1 0.000 0.000 0.000
Fe1 0.000 0.000 0.500
B1 0.250 0.250 0.250
W1 0.250 0.250 0.750
```